No. 1
Here is a geometry-optimized Zr2MoP structure from the Alexandria database. Energies are from PBE. Values from VASP.

```
&SYSTEM
  ibrav = 0, nat = 4, ntyp = 3
/
ATOMIC_SPECIES
Zr 91.22 Zr.upf
Mo 95.94 Mo.upf
P 30.97 P.upf
ATOMIC_POSITIONS crystal
Zr 0.0000 0.0000 0.0000
Zr 0.2230 0.2230 0.6889
Mo 0.4325 0.4325 0.4276
P 0.7477 0.7477 0.1801
CELL_PARAMETERS angstrom
4.9036 -1.6466 0.0000
4.9036 1.6466 0.0000
-1.2659 0.0000 4.5502
```

Values from the calculation:
formation energy	-0.383	eV per atom
uncorrected energy	-34.9	eV per formula unit



No. 2
Here is a geometry-optimized Zr2MoP structure from the Alexandria database. Energies are from PBE. Values from VASP.

```
&SYSTEM
  ibrav = 0, nat = 4, ntyp = 3
/
ATOMIC_SPECIES
Zr 91.22 Zr.upf
Mo 95.94 Mo.upf
P 30.97 P.upf
ATOMIC_POSITIONS crystal
Zr 0.0000 0.0000 0.0000
Zr 0.5000 0.5000 0.3152
Mo 0.0000 0.0000 0.5785
P 0.5000 0.5000 0.7761
CELL_PARAMETERS angstrom
1.7755 -2.5262 0.0000
1.7755 2.5262 0.0000
0.0000 0.0000 8.3230
```

Values from the calculation:
formation energy	-0.216	eV per atom
uncorrected energy	-34.2	eV per formula unit



No. 3
Here is a geometry-optimized ZrMo2P2 structure from the Alexandria database. Energies are from PBE. Values from VASP.

```
&SYSTEM
  ibrav = 0, nat = 10, ntyp = 3
/
ATOMIC_SPECIES
Zr 91.22 Zr.upf
Mo 95.94 Mo.upf
P 30.97 P.upf
ATOMIC_POSITIONS crystal
Zr 0.0000 0.0000 0.0000
Zr 0.5000 0.5000 0.0000
Mo 0.1424 0.3576 0.5000
Mo 0.3576 0.8576 0.5000
Mo 0.6424 0.1424 0.5000
Mo 0.8576 0.6424 0.5000
P 0.1454 0.6454 0.0000
P 0.3546 0.1454 0.0000
P 0.6454 0.8546 0.0000
P 0.8546 0.3546 0.0000
CELL_PARAMETERS angstrom
6.9966 0.0000 0.0000
0.0000 6.9966 0.0000
0.0000 0.0000 3.1486
```

Values from the calculation:
formation energy	-0.499	eV per atom
uncorrected energy	-43.5	eV per formula unit



No. 4
Here is a geometry-optimized Zr2MoP structure from the Alexandria database. Energies are from PBE. Values from VASP.

```
&SYSTEM
  ibrav = 0, nat = 4, ntyp = 3
/
ATOMIC_SPECIES
Zr 91.22 Zr.upf
Mo 95.94 Mo.upf
P 30.97 P.upf
ATOMIC_POSITIONS crystal
Zr 0.0000 0.5000 0.0000
Zr 0.5000 0.0000 0.0000
Mo 0.0000 0.0000 0.5000
P 0.5000 0.5000 0.5000
CELL_PARAMETERS angstrom
4.4950 0.0000 0.0000
0.0000 4.4950 0.0000
0.0000 0.0000 3.5377
```

Values from the calculation:
formation energy	-0.443	eV per atom
uncorrected energy	-35.1	eV per formula unit